## i
Cs3SrI6 | GGA-PBE | optimized geometry

Properties
Size of the total moment, μB/f.u.: 1.00
Space-group type: Fm-3m (225)

POSCAR file:
```
Cs3SrI6
1.0
9.7047 0.0000 0.0000
0.0000 9.7047 0.0000
4.8524 4.8524 6.8624
I Cs Sr
6 3 1
direct
0.2652 0.7348 0.0000
0.7348 0.7348 0.5304
0.7348 0.2652 0.0000
0.2652 0.2652 0.4696
0.7348 0.7348 0.0000
0.2652 0.2652 0.0000
0.0000 0.0000 0.0000
0.2500 0.7500 0.5000
0.7500 0.2500 0.5000
0.5000 0.5000 0.0000
```

***

## ii
Cs3SrI6 | GGA-PBE | optimized geometry

Properties
Size of the total moment, μB/f.u.: 0.00
Space-group type: Cmcm (63)

POSCAR file:
```
Cs3SrI6
1.0
-0.6261 -2.1989 -6.1535
9.9009 -10.0583 2.5869
-13.5119 -3.9449 2.7844
I Sr Cs
12 2 6
direct
0.5484 0.2137 0.7863
0.2983 0.3383 0.3383
0.5489 0.8330 0.4625
0.5489 0.5375 0.1670
0.0489 0.1670 0.5375
0.5482 0.9122 0.0878
0.7983 0.6617 0.6617
0.0489 0.4625 0.8330
0.2983 0.6617 0.6617
0.0482 0.0878 0.9122
0.7983 0.3383 0.3383
0.0484 0.7863 0.2137
0.5485 0.7737 0.2263
0.0485 0.2263 0.7737
0.5483 0.3822 0.6178
0.0487 0.0711 0.2530
0.0487 0.7470 0.9289
0.5487 0.9289 0.7470
0.0483 0.6178 0.3822
0.5487 0.2530 0.0711
```

***

ii has the most favorable energy; the next structure is 0.107 eV/atom above.